Here is a relaxed structure of TlCo2PBr from the Alexandria database. Energies are from PBE.

a = 4.357 Å, b = 4.357 Å, c = 6.400 Å
α = 90.00°, β = 90.00°, γ = 90.00°
Atoms (fractional coordinates):
Tl (0.000, 0.000, 0.000)
Co (0.000, 0.500, 0.500)
Co (0.500, 0.000, 0.500)
P (0.500, 0.500, 0.000)
Br (0.000, 0.000, 0.500)

Values from the calculation:
* crystal system: tetragonal
* formation energy without anion corrections: 5.82 eV per formula unit
* SG: No. 123

=====

Here is a relaxed structure of Pa6CoBr15 from the Alexandria database. Energies are from PBE.

a = 9.947 Å, b = 9.947 Å, c = 9.947 Å
α = 109.47°, β = 109.47°, γ = 109.47°
Atoms (fractional coordinates):
Pa (0.000, 0.234, 0.234)
Pa (0.000, 0.766, 0.766)
Pa (0.234, 0.000, 0.234)
Pa (0.234, 0.234, 0.000)
Pa (0.766, 0.000, 0.766)
Pa (0.766, 0.766, 0.000)
Co (0.000, 0.000, 0.000)
Br (0.000, 0.251, 0.749)
Br (0.000, 0.500, 0.500)
Br (0.000, 0.749, 0.251)
Br (0.251, 0.000, 0.749)
Br (0.251, 0.251, 0.501)
Br (0.251, 0.501, 0.251)
Br (0.251, 0.749, 0.000)
Br (0.499, 0.749, 0.749)
Br (0.500, 0.000, 0.500)
Br (0.500, 0.500, 0.000)
Br (0.501, 0.251, 0.251)
Br (0.749, 0.000, 0.251)
Br (0.749, 0.251, 0.000)
Br (0.749, 0.499, 0.749)
Br (0.749, 0.749, 0.499)

Values from the calculation:
* crystal system: cubic
* formation energy without anion corrections: -27.04 eV per formula unit
* SG: No. 229

=====

Here is a relaxed structure of Pa2CoBr2 from the Alexandria database. Energies are from PBE.

a = 3.944 Å, b = 3.944 Å, c = 11.355 Å
α = 101.08°, β = 101.08°, γ = 60.03°
Atoms (fractional coordinates):
Pa (0.212, 0.212, 0.124)
Pa (0.788, 0.788, 0.876)
Co (0.500, 0.500, 0.000)
Br (0.052, 0.052, 0.688)
Br (0.948, 0.948, 0.312)

Values from the calculation:
* crystal system: monoclinic
* formation energy without anion corrections: -4.03 eV per formula unit
* SG: No. 12

=====

Here is a relaxed structure of PrPaCoBr from the Alexandria database. Energies are from PBE.

a = 15.337 Å, b = 15.337 Å, c = 15.337 Å
α = 15.81°, β = 15.81°, γ = 15.81°
Atoms (fractional coordinates):
Pr (0.085, 0.085, 0.085)
Pr (0.915, 0.915, 0.915)
Pa (0.307, 0.307, 0.307)
Pa (0.693, 0.693, 0.693)
Co (0.369, 0.369, 0.369)
Co (0.631, 0.631, 0.631)
Br (0.207, 0.207, 0.207)
Br (0.793, 0.793, 0.793)

Values from the calculation:
* crystal system: trigonal
* formation energy without anion corrections: -2.56 eV per formula unit
* SG: No. 166

=====

Repeat the third record exactly.
Here is a relaxed structure of Pa2CoBr2 from the Alexandria database. Energies are from PBE.

a = 3.944 Å, b = 3.944 Å, c = 11.355 Å
α = 101.08°, β = 101.08°, γ = 60.03°
Atoms (fractional coordinates):
Pa (0.212, 0.212, 0.124)
Pa (0.788, 0.788, 0.876)
Co (0.500, 0.500, 0.000)
Br (0.052, 0.052, 0.688)
Br (0.948, 0.948, 0.312)

Values from the calculation:
* crystal system: monoclinic
* formation energy without anion corrections: -4.03 eV per formula unit
* SG: No. 12

=====

What did the fourth record say?
Here is a relaxed structure of PrPaCoBr from the Alexandria database. Energies are from PBE.

a = 15.337 Å, b = 15.337 Å, c = 15.337 Å
α = 15.81°, β = 15.81°, γ = 15.81°
Atoms (fractional coordinates):
Pr (0.085, 0.085, 0.085)
Pr (0.915, 0.915, 0.915)
Pa (0.307, 0.307, 0.307)
Pa (0.693, 0.693, 0.693)
Co (0.369, 0.369, 0.369)
Co (0.631, 0.631, 0.631)
Br (0.207, 0.207, 0.207)
Br (0.793, 0.793, 0.793)

Values from the calculation:
* crystal system: trigonal
* formation energy without anion corrections: -2.56 eV per formula unit
* SG: No. 166

=====

Repeat the first record exactly.
Here is a relaxed structure of TlCo2PBr from the Alexandria database. Energies are from PBE.

a = 4.357 Å, b = 4.357 Å, c = 6.400 Å
α = 90.00°, β = 90.00°, γ = 90.00°
Atoms (fractional coordinates):
Tl (0.000, 0.000, 0.000)
Co (0.000, 0.500, 0.500)
Co (0.500, 0.000, 0.500)
P (0.500, 0.500, 0.000)
Br (0.000, 0.000, 0.500)

Values from the calculation:
* crystal system: tetragonal
* formation energy without anion corrections: 5.82 eV per formula unit
* SG: No. 123